1.
# Pm6Si2Te3Se

A relaxed Pm6Si2Te3Se crystal (PBE, the Alexandria database).

a b c (Å): 9.814 9.814 8.820
angles (deg): 104.49 104.49 25.39
Atoms (fractional coordinates):
Pm (0.011, 0.011, 0.243)
Pm (0.327, 0.327, 0.433)
Pm (0.335, 0.335, 0.894)
Pm (0.665, 0.665, 0.106)
Pm (0.673, 0.673, 0.567)
Pm (0.989, 0.989, 0.757)
Si (0.167, 0.167, 0.332)
Si (0.833, 0.833, 0.668)
Te (0.164, 0.164, 0.834)
Te (0.500, 0.500, 0.500)
Te (0.836, 0.836, 0.166)
Se (0.500, 0.500, 0.000)

Values from the calculation:
The total energy comes out at -5.69 eV/atom. The value obtained for the density is 6546 kg/m³. Its space group is No. 12.

2.
# Pm8SiTe3Se3

A relaxed Pm8SiTe3Se3 crystal (PBE, the Alexandria database).

a b c (Å): 8.720 8.720 8.720
angles (deg): 58.63 58.63 58.63
Atoms (fractional coordinates):
Pm (0.240, 0.240, 0.240)
Pm (0.247, 0.738, 0.738)
Pm (0.262, 0.262, 0.753)
Pm (0.262, 0.753, 0.262)
Pm (0.738, 0.247, 0.738)
Pm (0.738, 0.738, 0.247)
Pm (0.753, 0.262, 0.262)
Pm (0.760, 0.760, 0.760)
Si (0.500, 0.500, 0.500)
Te (0.000, 0.500, 0.500)
Te (0.500, 0.000, 0.500)
Te (0.500, 0.500, 0.000)
Se (0.000, 0.000, 0.500)
Se (0.000, 0.500, 0.000)
Se (0.500, 0.000, 0.000)

Values from the calculation:
The total energy comes out at -5.64 eV/atom. The value obtained for the density is 6610 kg/m³. Its space group is No. 166.

3.
# Pm4SiTe2Se

A relaxed Pm4SiTe2Se crystal (PBE, the Alexandria database).

a b c (Å): 7.457 4.310 7.686
angles (deg): 90.00 108.96 90.00
Atoms (fractional coordinates):
Pm (0.233, 0.000, 0.221)
Pm (0.250, 0.500, 0.779)
Pm (0.750, 0.500, 0.221)
Pm (0.767, 0.000, 0.779)
Si (0.000, 0.500, 0.000)
Te (0.000, 0.000, 0.500)
Te (0.500, 0.500, 0.500)
Se (0.500, 0.000, 0.000)

Values from the calculation:
The total energy comes out at -5.70 eV/atom. The value obtained for the density is 6698 kg/m³. Its space group is No. 10.

4.
# Pm8SiTe4Se3

A relaxed Pm8SiTe4Se3 crystal (PBE, the Alexandria database).

a b c (Å): 8.790 8.790 8.790
angles (deg): 58.53 58.53 58.53
Atoms (fractional coordinates):
Pm (0.240, 0.240, 0.240)
Pm (0.248, 0.735, 0.735)
Pm (0.265, 0.265, 0.752)
Pm (0.265, 0.752, 0.265)
Pm (0.735, 0.248, 0.735)
Pm (0.735, 0.735, 0.248)
Pm (0.752, 0.265, 0.265)
Pm (0.760, 0.760, 0.760)
Si (0.500, 0.500, 0.500)
Te (0.000, 0.000, 0.000)
Te (0.000, 0.500, 0.500)
Te (0.500, 0.000, 0.500)
Te (0.500, 0.500, 0.000)
Se (0.000, 0.000, 0.500)
Se (0.000, 0.500, 0.000)
Se (0.500, 0.000, 0.000)

Values from the calculation:
The total energy comes out at -5.70 eV/atom. The value obtained for the density is 6924 kg/m³. Its space group is No. 166.

5.
# PmThSiSe

A relaxed PmThSiSe crystal (PBE, the Alexandria database).

a b c (Å): 7.365 7.365 7.365
angles (deg): 33.49 33.49 33.49
Atoms (fractional coordinates):
Pm (0.000, 0.000, 0.000)
Th (0.490, 0.490, 0.490)
Si (0.746, 0.746, 0.746)
Se (0.245, 0.245, 0.245)

Values from the calculation:
The total energy comes out at -6.52 eV/atom. The value obtained for the density is 7421 kg/m³. Its space group is No. 160.

6.
# PmTlSiSe4

A relaxed PmTlSiSe4 crystal (PBE, the Alexandria database).

a b c (Å): 6.796 6.921 9.052
angles (deg): 90.00 107.34 90.00
Atoms (fractional coordinates):
Pm (0.233, 0.250, 0.054)
Pm (0.767, 0.750, 0.946)
Tl (0.251, 0.250, 0.566)
Tl (0.749, 0.750, 0.434)
Si (0.220, 0.750, 0.820)
Si (0.780, 0.250, 0.180)
Se (0.004, 0.506, 0.221)
Se (0.004, 0.994, 0.221)
Se (0.412, 0.750, 0.075)
Se (0.416, 0.750, 0.657)
Se (0.584, 0.250, 0.343)
Se (0.588, 0.250, 0.925)
Se (0.996, 0.006, 0.779)
Se (0.996, 0.494, 0.779)

Values from the calculation:
The total energy comes out at -4.79 eV/atom. The value obtained for the density is 5665 kg/m³. Its space group is No. 11.

7.
# Pm2SmSe3

A relaxed Pm2SmSe3 crystal (PBE, the Alexandria database).

a b c (Å): 7.246 7.246 7.246
angles (deg): 146.28 131.85 60.07
Atoms (fractional coordinates):
Pm (0.168, 0.168, 0.000)
Pm (0.832, 0.832, 0.000)
Sm (0.500, 0.500, 0.000)
Se (0.000, 0.500, 0.500)
Se (0.335, 0.835, 0.500)
Se (0.665, 0.165, 0.500)

Values from the calculation:
For the energy relative to the lowest polymorph listed for this composition, the calculation gives 0.0 kJ per mole of atoms. The value obtained for the density is 7214 kg/m³. Its space group is No. 71.

8.
# PmSmSe3

A relaxed PmSmSe3 crystal (PBE, the Alexandria database).

a b c (Å): 4.144 7.201 9.162
angles (deg): 90.00 90.00 90.00
Atoms (fractional coordinates):
Pm (0.250, 0.250, 0.151)
Pm (0.750, 0.750, 0.849)
Sm (0.250, 0.750, 0.397)
Sm (0.750, 0.250, 0.603)
Se (0.250, 0.523, 0.670)
Se (0.250, 0.750, 0.065)
Se (0.250, 0.977, 0.670)
Se (0.750, 0.023, 0.330)
Se (0.750, 0.250, 0.935)
Se (0.750, 0.477, 0.330)

Values from the calculation:
For the energy relative to the lowest polymorph listed for this composition, the calculation gives 0.0 kJ per mole of atoms. The value obtained for the density is 6465 kg/m³. Its space group is No. 59.

9.
# PmSmSe2

A relaxed PmSmSe2 crystal (PBE, the Alexandria database).

a b c (Å): 7.638 7.638 7.638
angles (deg): 31.01 31.01 31.01
Atoms (fractional coordinates):
Pm (0.000, 0.000, 0.000)
Sm (0.823, 0.823, 0.823)
Se (0.411, 0.411, 0.411)
Se (0.578, 0.578, 0.578)

Values from the calculation:
For the energy relative to the lowest polymorph listed for this composition, the calculation gives 2.1 kJ per mole of atoms. The value obtained for the density is 7175 kg/m³. Its space group is No. 160.

10.
# PmSm2Se3

A relaxed PmSm2Se3 crystal (PBE, the Alexandria database).

a b c (Å): 4.133 4.133 20.999
angles (deg): 90.00 90.00 120.00
Atoms (fractional coordinates):
Pm (0.000, 0.000, 0.250)
Pm (0.000, 0.000, 0.750)
Sm (0.333, 0.667, 0.082)
Sm (0.333, 0.667, 0.418)
Sm (0.667, 0.333, 0.582)
Sm (0.667, 0.333, 0.918)
Se (0.000, 0.000, 0.000)
Se (0.000, 0.000, 0.500)
Se (0.333, 0.667, 0.664)
Se (0.333, 0.667, 0.836)
Se (0.667, 0.333, 0.164)
Se (0.667, 0.333, 0.336)

Values from the calculation:
For the energy relative to the lowest polymorph listed for this composition, the calculation gives 0.6 kJ per mole of atoms. The value obtained for the density is 7296 kg/m³. Its space group is No. 194.

11.
# Pm2Sm3Se4

A relaxed Pm2Sm3Se4 crystal (PBE, the Alexandria database).

a b c (Å): 4.100 4.100 17.072
angles (deg): 90.01 90.01 60.01
Atoms (fractional coordinates):
Pm (0.167, 0.167, 0.207)
Pm (0.833, 0.833, 0.793)
Sm (0.166, 0.166, 0.586)
Sm (0.500, 0.500, 0.000)
Sm (0.834, 0.834, 0.414)
Se (0.166, 0.166, 0.898)
Se (0.499, 0.499, 0.690)
Se (0.501, 0.501, 0.310)
Se (0.834, 0.834, 0.102)

Values from the calculation:
The total energy comes out at -5.77 eV/atom. The value obtained for the density is 7061 kg/m³. Its space group is No. 12.

12.
# Pm6SmSe8

A relaxed Pm6SmSe8 crystal (PBE, the Alexandria database).

a b c (Å): 8.364 8.364 8.364
angles (deg): 60.00 60.00 60.00
Atoms (fractional coordinates):
Pm (0.000, 0.000, 0.500)
Pm (0.000, 0.500, 0.000)
Pm (0.000, 0.500, 0.500)
Pm (0.500, 0.000, 0.000)
Pm (0.500, 0.000, 0.500)
Pm (0.500, 0.500, 0.000)
Sm (0.000, 0.000, 0.000)
Se (0.250, 0.250, 0.250)
Se (0.252, 0.252, 0.748)
Se (0.252, 0.748, 0.252)
Se (0.252, 0.748, 0.748)
Se (0.748, 0.252, 0.252)
Se (0.748, 0.252, 0.748)
Se (0.748, 0.748, 0.252)
Se (0.750, 0.750, 0.750)

Values from the calculation:
The total energy comes out at -5.95 eV/atom. The value obtained for the density is 6630 kg/m³. Its space group is No. 225.